# PBEsol BeInOs2, relaxed
# **Calculated total energy**: -7.564 eV/atom
# **Energy of formation from the pure elements**: 0.289 eV/atom
# **Energy relative to the lowest polymorph listed for this composition**: 0.000 eV per atom
data_BeInOs2
_space_group_name_H-M_alt 'I m m m'
_space_group_IT_number 71
_space_group_name_Hall '-I 2 2'
_cell_length_a 2.890
_cell_length_b 4.480
_cell_length_c 8.539
_cell_angle_alpha 90.00
_cell_angle_beta 90.00
_cell_angle_gamma 90.00
loop_
_atom_site_label
_atom_site_fract_x
_atom_site_fract_y
_atom_site_fract_z
Be1 0.000 0.000 0.000
In1 0.000 0.000 0.500
Os1 0.000 0.500 0.287